Record 1
Computed, not measured: a geometry-optimized Rb2OsPbF6 structure at the PBE level of DFT.

Values from the calculation:
Raw formation energy = -1911 meV/atom
Magnetization = 0.0 μB per cell
Mass density = 6.00 Mg/m³
DOS at the Fermi energy = 0.0 states/eV/f.u.
V = 189.0 Å³ per cell

Cell lengths 6.4412, 6.4412, 6.4412 Å; angles 60.00, 60.00, 90.00 degrees
With the nearest neighbours (Å) after each atom.
Atoms (fractional coordinates):
F  0.7345  0.2655  0.0000  1 Os 2.14
F  0.2655  0.7345  0.0000  1 Os 2.14
F  0.7345  0.7345  0.5310  1 Os 2.14
F  0.7345  0.7345  0.0000  1 Os 2.14
F  0.2655  0.2655  0.4690  1 Os 2.14
F  0.2655  0.2655  0.0000  1 Os 2.14
Pb  0.0000  0.0000  0.0000  6 F 2.42
Rb  0.2500  0.7500  0.5000  12 F 3.22
Rb  0.7500  0.2500  0.5000  12 F 3.22
Os  0.5000  0.5000  0.0000  6 F 2.14



Record 2
Computed, not measured: a geometry-optimized Os2RhPbF structure at the PBE level of DFT.

Values from the calculation:
Raw formation energy = 1972 meV/atom
Magnetization = 5.0 μB per cell
Mass density = 10.68 Mg/m³
DOS at the Fermi energy = 10.2 states/eV/f.u.
V = 110.3 Å³ per cell

Cell lengths 5.1025, 4.2358, 5.1025 Å; angles 90.00, 90.00, 90.00 degrees
With the nearest neighbours (Å) after each atom.
Atoms (fractional coordinates):
Rh  0.5000  0.5000  0.5000  8 Os 3.32, 4 F 3.61
F  0.0000  0.5000  0.0000  2 Pb 2.12
Pb  0.0000  0.0000  0.0000  2 F 2.12
Os  0.0000  0.0000  0.5000  2 Pb 2.55
Os  0.5000  0.0000  0.0000  2 Pb 2.55



Record 3
Computed, not measured: a geometry-optimized Sb2OsPbF structure at the PBE level of DFT.

Values from the calculation:
Raw formation energy = 146 meV/atom
Magnetization = 0.5 μB per cell
Mass density = 7.57 Mg/m³
DOS at the Fermi energy = 4.5 states/eV/f.u.
V = 144.8 Å³ per cell

Cell lengths 5.0051, 5.7807, 5.0051 Å; angles 90.00, 90.00, 90.00 degrees
With the nearest neighbours (Å) after each atom.
Atoms (fractional coordinates):
Os  0.0000  0.0000  0.0000  4 Sb 2.50
Pb  0.0000  0.5000  0.0000  2 Os 2.89
Sb  0.5000  0.0000  0.0000  2 Os 2.50
Sb  0.0000  0.0000  0.5000  2 Os 2.50
F  0.5000  0.5000  0.5000  4 Pb 3.54, 8 Sb 3.82



Record 4
Computed, not measured: a geometry-optimized SbOsPb2F structure at the PBE level of DFT.

Values from the calculation:
Raw formation energy = 444 meV/atom
Magnetization = 0.0 μB per cell
Mass density = 10.70 Mg/m³
DOS at the Fermi energy = 4.7 states/eV/f.u.
V = 115.7 Å³ per cell

Cell lengths 5.2541, 4.1910, 5.2541 Å; angles 90.00, 90.00, 90.00 degrees
With the nearest neighbours (Å) after each atom.
Atoms (fractional coordinates):
Pb  0.5000  0.0000  0.0000  2 F 2.63
Pb  0.0000  0.0000  0.5000  2 F 2.63
Os  0.0000  0.5000  0.0000  2 F 2.10
Sb  0.5000  0.5000  0.5000  8 Pb 3.36, 4 Os 3.72
F  0.0000  0.0000  0.0000  2 Os 2.10



Record 5
Computed, not measured: a geometry-optimized SnOsPb2F structure at the PBE level of DFT.

Values from the calculation:
Raw formation energy = 428 meV/atom
Magnetization = 0.0 μB per cell
Mass density = 10.64 Mg/m³
DOS at the Fermi energy = 4.4 states/eV/f.u.
V = 115.9 Å³ per cell

Cell lengths 5.3002, 4.1244, 5.3002 Å; angles 90.00, 90.00, 90.00 degrees
With the nearest neighbours (Å) after each atom.
Atoms (fractional coordinates):
Pb  0.0000  0.0000  0.5000  2 F 2.65
Pb  0.5000  0.0000  0.0000  2 F 2.65
F  0.0000  0.0000  0.0000  2 Os 2.06
Os  0.0000  0.5000  0.0000  2 F 2.06
Sn  0.5000  0.5000  0.5000  8 Pb 3.36, 4 Os 3.75



Record 6
Computed, not measured: a geometry-optimized OsPd2F structure at the PBE level of DFT.

Values from the calculation:
Energy above the lowest structure with this stoichiometry = 0.0 meV per atom
Raw formation energy = 426 meV/atom
Magnetization = 0.7 μB per cell
Mass density = 12.29 Mg/m³
DOS at the Fermi energy = 4.8 states/eV/f.u.
V = 57.0 Å³ per cell

Cell lengths 4.3204, 4.3204, 4.3204 Å; angles 60.00, 60.00, 60.00 degrees
With the nearest neighbours (Å) after each atom.
Atoms (fractional coordinates):
Pd  0.2500  0.2500  0.2500  4 F 2.65, 4 Os 2.65
Pd  0.7500  0.7500  0.7500  4 F 2.65, 4 Os 2.65
Os  0.5000  0.5000  0.5000  8 Pd 2.65
F  0.0000  0.0000  0.0000  8 Pd 2.65



Record 7
Computed, not measured: a geometry-optimized OsPd2F structure at the PBE level of DFT.

Values from the calculation:
Energy above the lowest structure with this stoichiometry = 80.1 meV per atom
Raw formation energy = 506 meV/atom
Magnetization = 6.1 μB per cell
Mass density = 11.42 Mg/m³
DOS at the Fermi energy = 1.8 states/eV/f.u.
V = 122.7 Å³ per cell

Cell lengths 6.6448, 6.6448, 5.4590 Å; angles 52.51, 52.51, 90.00 degrees
With the nearest neighbours (Å) after each atom.
Atoms (fractional coordinates):
Pd  0.8750  0.8525  0.7500  2 F 2.35, 2 Os 2.55
Pd  0.6025  0.1250  0.2500  2 F 2.35, 2 Os 2.55
Pd  0.3750  0.3975  0.7500  2 F 2.35, 2 Os 2.55
Pd  0.1475  0.6250  0.2500  2 F 2.35, 2 Os 2.55
F  0.2500  0.7500  0.5000  4 Pd 2.35
F  0.5000  0.5000  0.0000  4 Pd 2.35
Os  0.0000  0.0000  0.0000  4 Pd 2.55, 2 F 2.78
Os  0.7500  0.2500  0.5000  4 Pd 2.55, 2 F 2.78



Record 8
Computed, not measured: a geometry-optimized RbOsPd2F structure at the PBE level of DFT.

Values from the calculation:
Raw formation energy = 881 meV/atom
Magnetization = 1.9 μB per cell
Mass density = 8.13 Mg/m³
DOS at the Fermi energy = 5.1 states/eV/f.u.
V = 103.7 Å³ per cell

Cell lengths 5.1465, 3.9156, 5.1465 Å; angles 90.00, 90.00, 90.00 degrees
With the nearest neighbours (Å) after each atom.
Atoms (fractional coordinates):
Pd  0.0000  0.0000  0.5000  2 F 2.57
Pd  0.5000  0.0000  0.0000  2 F 2.57
Rb  0.5000  0.5000  0.5000  8 Pd 3.23
Os  0.0000  0.5000  0.0000  2 F 1.96
F  0.0000  0.0000  0.0000  2 Os 1.96



Question: Look up the raw formation energy of the fourth one.
Answer: 444 meV/atom



Question: Among the records above, which one has the lowest DOS at the Fermi energy?
Answer: Rb2OsPbF6



Repeat the sixth record exactly.
Computed, not measured: a geometry-optimized OsPd2F structure at the PBE level of DFT.

Values from the calculation:
Energy above the lowest structure with this stoichiometry = 0.0 meV per atom
Raw formation energy = 426 meV/atom
Magnetization = 0.7 μB per cell
Mass density = 12.29 Mg/m³
DOS at the Fermi energy = 4.8 states/eV/f.u.
V = 57.0 Å³ per cell

Cell lengths 4.3204, 4.3204, 4.3204 Å; angles 60.00, 60.00, 60.00 degrees
With the nearest neighbours (Å) after each atom.
Atoms (fractional coordinates):
Pd  0.2500  0.2500  0.2500  4 F 2.65, 4 Os 2.65
Pd  0.7500  0.7500  0.7500  4 F 2.65, 4 Os 2.65
Os  0.5000  0.5000  0.5000  8 Pd 2.65
F  0.0000  0.0000  0.0000  8 Pd 2.65



Question: What is the formula in the eighth record?
Answer: RbOsPd2F